## NiAu5 (PBE)

Data for a relaxed NiAu5 crystal.

Lattice parameters (Å, degrees): 7.688 7.688 7.688 90.00 90.00 90.00
Space group F-43m (No. 216)
Inequivalent atoms, fractional coordinates:
Ni  0.000  0.000  0.000 x4
Au  0.125  0.125  0.625 x16
Au  0.250  0.250  0.250 x4

Energy above the lowest structure with this stoichiometry, kcal/mol of atoms: 7.301
Energy, eV per formula unit: -20.0
ΔE_f, meV/atom: 369